Entry 1:
Material: Li2IrSe
Method: DFT, GGA-PBE
State: optimized geometry

Lattice parameters (Å, degrees): 5.105 8.094 2.813 90.00 90.00 90.00
Space group Cmmm (No. 65)
Inequivalent atoms, fractional coordinates:
1 Li 0.250 0.250 0.000 x4
2 Ir 0.000 0.000 0.500 x2
3 Se 0.000 0.500 0.500 x2

***

Entry 2:
Material: Li2IrSe
Method: DFT, GGA-PBE
State: optimized geometry

Lattice parameters (Å, degrees): 3.868 3.868 7.395 90.00 90.00 90.00
Space group I-4m2 (No. 119)
Inequivalent atoms, fractional coordinates:
1 Li 0.000 0.000 0.000 x2
2 Li 0.000 0.500 0.250 x2
3 Ir 0.000 0.000 0.500 x2
4 Se 0.000 0.500 0.750 x2

***

Entry 3:
Material: LiIr2Se
Method: DFT, GGA-PBE
State: optimized geometry

Lattice parameters (Å, degrees): 2.817 4.729 9.095 90.00 90.00 90.00
Space group Cmmm (No. 65)
Inequivalent atoms, fractional coordinates:
1 Li 0.000 0.000 0.000 x2
2 Ir 0.000 0.500 0.243 x4
3 Se 0.000 0.000 0.500 x2

***

Entry 4:
Material: LiIr5Se8
Method: DFT, GGA-PBE
State: optimized geometry

Lattice parameters (Å, degrees): 10.506 10.506 10.506 90.00 90.00 90.00
Space group F-43m (No. 216)
Inequivalent atoms, fractional coordinates:
1 Li 0.000 0.000 0.000 x4
2 Ir 0.128 0.128 0.628 x16
3 Ir 0.250 0.250 0.250 x4
4 Se 0.115 0.115 0.385 x16
5 Se 0.137 0.137 0.863 x16

***

Entry 5:
Material: LiIrSe2
Method: DFT, GGA-PBE
State: optimized geometry

Lattice parameters (Å, degrees): 3.0180 3.0180 25.6059 90.00 90.00 120.00
Space group R-3m (No. 166, hexagonal axes)
Inequivalent atoms, fractional coordinates:
1 Li 0.0000 0.0000 0.0000 x3
2 Ir 0.0000 0.0000 0.5000 x3
3 Se 0.0000 0.0000 0.4069 x6

***

Entry 6:
Material: Li2IrSe
Method: DFT, GGA-PBE
State: optimized geometry

Lattice parameters (Å, degrees): 2.976 4.485 4.525 90.00 90.60 90.00
Space group Pm (No. 6)
Inequivalent atoms, fractional coordinates:
1 Li 0.000 0.000 0.000 x1
2 Li 0.016 0.500 0.724 x1
3 Ir 0.508 0.000 0.483 x1
4 Se 0.506 0.500 0.267 x1

***

Spin magnetization (computed, μB/f.u.): 0.01, 0.00, 0.00, 0.00, 0.33, 0.00
Energy relative to the elements, uncorrected (computed, eV/atom): -0.303, -0.291, 0.345, -0.287, -0.059, -0.304
Theoretical density (computed, Mg/m³): 8.15, 8.56, 12.89, 9.16, 8.81, 7.84